[1]
# FeH4NCl3 PBE relaxed
data_FeH4NCl3
_cell_length_a 7.103
_cell_length_b 5.823
_cell_length_c 7.123
_cell_angle_alpha 90.00
_cell_angle_beta 119.79
_cell_angle_gamma 90.00
_symmetry_space_group_name_H-M 'P 1'
_symmetry_Int_Tables_number 1
loop_
_symmetry_equiv_pos_as_xyz
'x,y,z'
loop_
_atom_site_label
_atom_site_type_symbol
_atom_site_fract_x
_atom_site_fract_y
_atom_site_fract_z
Fe1 Fe 0.000 0.000 0.000
Fe2 Fe 0.000 0.500 0.000
H1 H 0.197 0.278 0.527
H2 H 0.331 0.276 0.804
H3 H 0.332 0.044 0.665
H4 H 0.475 0.275 0.669
H5 H 0.525 0.775 0.331
H6 H 0.668 0.544 0.335
H7 H 0.669 0.776 0.196
H8 H 0.803 0.778 0.473
N1 N 0.334 0.221 0.666
N2 N 0.666 0.721 0.334
Cl1 Cl 0.116 0.752 0.797
Cl2 Cl 0.204 0.752 0.320
Cl3 Cl 0.319 0.252 0.115
Cl4 Cl 0.681 0.752 0.885
Cl5 Cl 0.796 0.252 0.680
Cl6 Cl 0.884 0.252 0.203
# **ρ**: 2.34 g/cm³
# **DFT total energy**: -4.63 eV per atom
# **V**: 255.7 Å³/cell


[2]
# K2FeHgCl6 PBE relaxed
data_K2FeHgCl6
_cell_length_a 7.257
_cell_length_b 7.257
_cell_length_c 7.257
_cell_angle_alpha 60.00
_cell_angle_beta 60.00
_cell_angle_gamma 60.00
_symmetry_space_group_name_H-M 'P 1'
_symmetry_Int_Tables_number 1
loop_
_symmetry_equiv_pos_as_xyz
'x,y,z'
loop_
_atom_site_label
_atom_site_type_symbol
_atom_site_fract_x
_atom_site_fract_y
_atom_site_fract_z
K1 K 0.250 0.250 0.250
K2 K 0.750 0.750 0.750
Fe1 Fe 0.000 0.000 0.000
Hg1 Hg 0.500 0.500 0.500
Cl1 Cl 0.236 0.236 0.764
Cl2 Cl 0.236 0.764 0.236
Cl3 Cl 0.236 0.764 0.764
Cl4 Cl 0.764 0.236 0.236
Cl5 Cl 0.764 0.236 0.764
Cl6 Cl 0.764 0.764 0.236
# **ρ**: 3.36 g/cm³
# **DFT total energy**: -3.32 eV per atom
# **V**: 270.2 Å³/cell


[3]
# Tl2FeHgCl6 PBE relaxed
data_Tl2FeHgCl6
_cell_length_a 7.263
_cell_length_b 7.263
_cell_length_c 7.263
_cell_angle_alpha 60.00
_cell_angle_beta 60.00
_cell_angle_gamma 60.00
_symmetry_space_group_name_H-M 'P 1'
_symmetry_Int_Tables_number 1
loop_
_symmetry_equiv_pos_as_xyz
'x,y,z'
loop_
_atom_site_label
_atom_site_type_symbol
_atom_site_fract_x
_atom_site_fract_y
_atom_site_fract_z
Tl1 Tl 0.250 0.250 0.250
Tl2 Tl 0.750 0.750 0.750
Fe1 Fe 0.000 0.000 0.000
Hg1 Hg 0.500 0.500 0.500
Cl1 Cl 0.235 0.235 0.765
Cl2 Cl 0.235 0.765 0.235
Cl3 Cl 0.235 0.765 0.765
Cl4 Cl 0.765 0.235 0.235
Cl5 Cl 0.765 0.235 0.765
Cl6 Cl 0.765 0.765 0.235
# **ρ**: 5.38 g/cm³
# **DFT total energy**: -3.20 eV per atom
# **V**: 270.9 Å³/cell


[4]
# HoTmFe2Cl2 PBE relaxed
data_HoTmFe2Cl2
_cell_length_a 3.771
_cell_length_b 3.771
_cell_length_c 10.977
_cell_angle_alpha 90.00
_cell_angle_beta 90.00
_cell_angle_gamma 120.00
_symmetry_space_group_name_H-M 'P 1'
_symmetry_Int_Tables_number 1
loop_
_symmetry_equiv_pos_as_xyz
'x,y,z'
loop_
_atom_site_label
_atom_site_type_symbol
_atom_site_fract_x
_atom_site_fract_y
_atom_site_fract_z
Ho1 Ho 0.000 0.000 0.000
Tm1 Tm 0.000 0.000 0.639
Fe1 Fe 0.333 0.667 0.828
Fe2 Fe 0.667 0.333 0.808
Cl1 Cl 0.333 0.667 0.483
Cl2 Cl 0.667 0.333 0.158
# **ρ**: 6.34 g/cm³
# **DFT total energy**: -6.01 eV per atom
# **V**: 135.2 Å³/cell


[5]
# YHoFe2Cl2 PBE relaxed
data_YHoFe2Cl2
_cell_length_a 3.797
_cell_length_b 3.797
_cell_length_c 11.066
_cell_angle_alpha 90.00
_cell_angle_beta 90.00
_cell_angle_gamma 120.00
_symmetry_space_group_name_H-M 'P 1'
_symmetry_Int_Tables_number 1
loop_
_symmetry_equiv_pos_as_xyz
'x,y,z'
loop_
_atom_site_label
_atom_site_type_symbol
_atom_site_fract_x
_atom_site_fract_y
_atom_site_fract_z
Y1 Y 0.000 0.000 0.000
Ho1 Ho 0.000 0.000 0.637
Fe1 Fe 0.333 0.667 0.826
Fe2 Fe 0.667 0.333 0.808
Cl1 Cl 0.333 0.667 0.481
Cl2 Cl 0.667 0.333 0.157
# **ρ**: 5.25 g/cm³
# **DFT total energy**: -6.34 eV per atom
# **V**: 138.1 Å³/cell


[6]
# Fe2PdI6Cl2 PBE relaxed
data_Fe2PdI6Cl2
_cell_length_a 8.164
_cell_length_b 8.164
_cell_length_c 7.491
_cell_angle_alpha 95.10
_cell_angle_beta 95.10
_cell_angle_gamma 70.74
_symmetry_space_group_name_H-M 'P 1'
_symmetry_Int_Tables_number 1
loop_
_symmetry_equiv_pos_as_xyz
'x,y,z'
loop_
_atom_site_label
_atom_site_type_symbol
_atom_site_fract_x
_atom_site_fract_y
_atom_site_fract_z
Fe1 Fe 0.211 0.211 0.339
Fe2 Fe 0.789 0.789 0.661
Pd1 Pd 0.000 0.000 0.000
I1 I 0.095 0.684 0.831
I2 I 0.184 0.184 0.666
I3 I 0.316 0.905 0.169
I4 I 0.684 0.095 0.831
I5 I 0.816 0.816 0.334
I6 I 0.905 0.316 0.169
Cl1 Cl 0.368 0.368 0.300
Cl2 Cl 0.632 0.632 0.700
# **ρ**: 3.72 g/cm³
# **DFT total energy**: -3.47 eV per atom
# **V**: 468.5 Å³/cell


[7]
# In3FeCl5 PBE relaxed
data_In3FeCl5
_cell_length_a 9.457
_cell_length_b 9.457
_cell_length_c 9.457
_cell_angle_alpha 128.01
_cell_angle_beta 128.01
_cell_angle_gamma 76.61
_symmetry_space_group_name_H-M 'P 1'
_symmetry_Int_Tables_number 1
loop_
_symmetry_equiv_pos_as_xyz
'x,y,z'
loop_
_atom_site_label
_atom_site_type_symbol
_atom_site_fract_x
_atom_site_fract_y
_atom_site_fract_z
In1 In 0.161 0.661 0.823
In2 In 0.250 0.250 0.000
In3 In 0.339 0.161 0.500
In4 In 0.661 0.839 0.500
In5 In 0.750 0.750 0.000
In6 In 0.839 0.339 0.177
Fe1 Fe 0.250 0.750 0.500
Fe2 Fe 0.750 0.250 0.500
Cl1 Cl 0.000 0.000 0.000
Cl2 Cl 0.001 0.808 0.500
Cl3 Cl 0.192 0.692 0.193
Cl4 Cl 0.308 0.501 0.500
Cl5 Cl 0.499 0.999 0.807
Cl6 Cl 0.500 0.500 0.000
Cl7 Cl 0.501 0.001 0.193
Cl8 Cl 0.692 0.499 0.500
Cl9 Cl 0.808 0.308 0.807
Cl10 Cl 0.999 0.192 0.500
# **ρ**: 3.76 g/cm³
# **DFT total energy**: -3.62 eV per atom
# **V**: 510.0 Å³/cell


[8]
# InFeCl6 PBE relaxed
data_InFeCl6
_cell_length_a 12.260
_cell_length_b 6.898
_cell_length_c 7.220
_cell_angle_alpha 90.00
_cell_angle_beta 124.80
_cell_angle_gamma 90.00
_symmetry_space_group_name_H-M 'P 1'
_symmetry_Int_Tables_number 1
loop_
_symmetry_equiv_pos_as_xyz
'x,y,z'
loop_
_atom_site_label
_atom_site_type_symbol
_atom_site_fract_x
_atom_site_fract_y
_atom_site_fract_z
In1 In 0.000 0.000 0.000
In2 In 0.500 0.500 0.000
Fe1 Fe 0.325 0.000 0.474
Fe2 Fe 0.825 0.500 0.474
Cl1 Cl 0.175 0.244 0.260
Cl2 Cl 0.175 0.756 0.260
Cl3 Cl 0.328 0.500 0.045
Cl4 Cl 0.368 0.000 0.808
Cl5 Cl 0.481 0.500 0.660
Cl6 Cl 0.490 0.000 0.452
Cl7 Cl 0.675 0.256 0.260
Cl8 Cl 0.675 0.744 0.260
Cl9 Cl 0.828 0.000 0.045
Cl10 Cl 0.868 0.500 0.808
Cl11 Cl 0.981 0.000 0.660
Cl12 Cl 0.990 0.500 0.452
# **ρ**: 2.54 g/cm³
# **DFT total energy**: -3.62 eV per atom
# **V**: 501.4 Å³/cell


Q: Which value of DFT total energy does entry 5 give?
A: -6.34 eV per atom


Q: Which of these has the highest ρ?
A: HoTmFe2Cl2